This record from the Open Quantum Materials Database describes a geometry-optimized Tm5Ni2 structure. The functional is PBE. Values from VASP.

Output
**SG**: C2/c (15)
**Crystal system**: monoclinic

The structure in Quantum ESPRESSO input format:
```
&SYSTEM
  ibrav = 0, nat = 14, ntyp = 2
/
ATOMIC_SPECIES
Tm 168.93 Tm.upf
Ni 58.69 Ni.upf
CELL_PARAMETERS angstrom
7.9709 -3.1347 0.0000
7.9709 3.1347 0.0000
-0.7453 0.0000 6.7039
ATOMIC_POSITIONS crystal
Tm 0.3492 0.2166 0.1888
Tm 0.2057 0.9856 0.4214
Tm 0.5660 0.4340 0.2500
Ni 0.8165 0.4039 0.5674
Tm 0.4340 0.5660 0.7500
Ni 0.4039 0.8165 0.0674
Ni 0.5961 0.1835 0.9326
Tm 0.0144 0.7943 0.0786
Ni 0.1835 0.5961 0.4326
Tm 0.7834 0.6508 0.3112
Tm 0.2166 0.3492 0.6888
Tm 0.7943 0.0144 0.5786
Tm 0.6508 0.7834 0.8112
Tm 0.9856 0.2057 0.9214
```

---

This record from the Open Quantum Materials Database describes a geometry-optimized Tm3Ni structure. The functional is PBE. Values from VASP.

Output
**SG**: P6_3/mmc (194)
**Crystal system**: hexagonal

The structure in Quantum ESPRESSO input format:
```
&SYSTEM
  ibrav = 0, nat = 8, ntyp = 2
/
ATOMIC_SPECIES
Tm 168.93 Tm.upf
Ni 58.69 Ni.upf
CELL_PARAMETERS angstrom
-4.4488 0.1903 -5.0587
2.2986 -5.9241 2.2448
-3.5993 -0.2000 3.1579
ATOMIC_POSITIONS crystal
Tm 0.1792 0.8208 0.2500
Tm 0.3583 0.1792 0.7500
Tm 0.8208 0.1792 0.7500
Ni 0.3333 0.6667 0.7500
Tm 0.6417 0.8208 0.2500
Ni 0.6667 0.3333 0.2500
Tm 0.1792 0.3583 0.2500
Tm 0.8208 0.6417 0.7500
```

---

This record from the Open Quantum Materials Database describes a geometry-optimized Tm3Ni structure. The functional is PBE. Values from VASP.

Output
**SG**: Fm-3m (225)
**Crystal system**: cubic

The structure in Quantum ESPRESSO input format:
```
&SYSTEM
  ibrav = 0, nat = 4, ntyp = 2
/
ATOMIC_SPECIES
Ni 58.69 Ni.upf
Tm 168.93 Tm.upf
CELL_PARAMETERS angstrom
-4.3069 0.2997 2.7835
-0.8226 4.0661 3.0294
-3.6206 3.4297 -1.2313
ATOMIC_POSITIONS crystal
Ni 0.7500 0.7500 0.7500
Tm 0.5000 0.5000 0.5000
Tm 0.2500 0.2500 0.2500
Tm 0.0000 0.0000 0.0000
```

---

This record from the Open Quantum Materials Database describes a geometry-optimized TmNi2 structure. The functional is PBE. Values from VASP.

Output
**SG**: Fd-3m (227)
**Crystal system**: cubic

The structure in Quantum ESPRESSO input format:
```
&SYSTEM
  ibrav = 0, nat = 48, ntyp = 2
/
ATOMIC_SPECIES
Ni 58.69 Ni.upf
Tm 168.93 Tm.upf
CELL_PARAMETERS angstrom
-2.5123 -8.9242 -3.7935
0.2782 -8.1645 5.7971
-8.5290 -4.4248 2.8322
ATOMIC_POSITIONS crystal
Ni 0.3124 0.5625 0.8126
Ni 0.3124 0.8126 0.5625
Ni 0.8125 0.8125 0.8125
Ni 0.5625 0.8125 0.8125
Ni 0.0628 0.3124 0.3124
Tm 0.1249 0.1249 0.6253
Ni 0.5625 0.3124 0.8126
Ni 0.8125 0.3126 0.8125
Ni 0.8125 0.3126 0.0625
Tm 0.6253 0.1249 0.1249
Tm 0.0002 0.4998 0.0002
Tm 0.1244 0.6252 0.6252
Ni 0.8125 0.0625 0.8125
Tm 0.6252 0.1244 0.6252
Tm 0.6252 0.6252 0.6252
Tm 0.1249 0.6253 0.1249
Ni 0.5625 0.3124 0.3124
Ni 0.3126 0.0625 0.8125
Ni 0.3126 0.8125 0.8125
Tm 0.4998 0.0002 0.0002
Tm 0.4998 0.0002 0.4998
Tm 0.6252 0.6252 0.1244
Tm 0.0000 0.0000 0.0000
Ni 0.3124 0.3124 0.8126
Ni 0.0625 0.8125 0.3126
Ni 0.3126 0.8125 0.0625
Ni 0.0625 0.3126 0.8125
Tm 0.0002 0.4998 0.4998
Ni 0.8125 0.8125 0.5625
Ni 0.5625 0.8126 0.3124
Ni 0.3124 0.5625 0.3124
Ni 0.8126 0.5625 0.3124
Ni 0.3124 0.3124 0.0628
Tm 0.1249 0.1249 0.1249
Ni 0.8126 0.3124 0.3124
Ni 0.3124 0.0628 0.3124
Ni 0.8125 0.8125 0.3126
Ni 0.3124 0.8126 0.3124
Ni 0.8125 0.8125 0.0625
Ni 0.8125 0.0625 0.3126
Tm 0.5000 0.5000 0.5000
Ni 0.8126 0.3124 0.5625
Tm 0.4998 0.4998 0.0002
Ni 0.8125 0.5625 0.8125
Ni 0.3124 0.3124 0.3124
Ni 0.3124 0.3124 0.5625
Ni 0.0625 0.8125 0.8125
Tm 0.0002 0.0002 0.4998
```

---

This record from the Open Quantum Materials Database describes a geometry-optimized TmUNi structure. The functional is PBE. Values from VASP.

Output
**SG**: F-43m (216)
**Energy relative to the lowest polymorph listed for this composition**: 0 meV per atom
**Crystal system**: cubic

The structure in Quantum ESPRESSO input format:
```
&SYSTEM
  ibrav = 0, nat = 3, ntyp = 3
/
ATOMIC_SPECIES
Ni 58.69 Ni.upf
Tm 168.93 Tm.upf
U 238.03 U.upf
CELL_PARAMETERS angstrom
-3.8085 -2.3162 1.2005
-3.6477 2.2716 1.6867
-3.8402 0.4027 -2.5301
ATOMIC_POSITIONS crystal
Ni 0.0000 0.0000 0.0000
Tm 0.7500 0.7500 0.7500
U 0.2500 0.2500 0.2500
```

---

This record from the Open Quantum Materials Database describes a geometry-optimized Tm2U6Ni structure. The functional is PBE. Values from VASP.

Output
**SG**: Fm-3m (225)
**Crystal system**: cubic

The structure in Quantum ESPRESSO input format:
```
&SYSTEM
  ibrav = 0, nat = 9, ntyp = 3
/
ATOMIC_SPECIES
U 238.03 U.upf
Tm 168.93 Tm.upf
Ni 58.69 Ni.upf
CELL_PARAMETERS angstrom
-0.4376 -6.5588 1.2460
1.5982 -2.3721 6.0482
-4.7863 -2.3246 4.0558
ATOMIC_POSITIONS crystal
U 0.7154 0.7154 0.2848
Tm 0.7501 0.7501 0.7501
Tm 0.2499 0.2499 0.2499
U 0.7154 0.2848 0.7154
U 0.2848 0.7154 0.7154
U 0.2846 0.2846 0.7152
U 0.7152 0.2846 0.2846
U 0.2846 0.7152 0.2846
Ni 0.0000 0.0000 0.0000
```

---

Ordered E results: -5.0928, -4.7273, -4.6020, -5.7010, -6.7725, -8.6468; unit eV per atom.
Ordered mass density results: 9.54, 9.96, 9.80, 10.70, 11.12, 14.32; unit g/cm3.